The following is a PBE-GGA calculation of an optimized crystal structure of LiHoB, from OQMD.

a b c (Å): 4.226 4.226 4.226
angles (deg): 60.00 60.00 60.00
Sites, in units of the cell vectors:
Ho1 0.250 0.250 0.250
Li1 0.000 0.000 0.000
B1 0.500 0.500 0.500

Summary:
Excess energy over the best structure of this formula in the dataset (eV per atom): 0.5823
VASP energy (eV/atom): -3.635
Total moment (μB/f.u.): 0.01
Space group: No. 216